## BaSmTe2F (PBE)

Data for a relaxed BaSmTe2F crystal.

Geometry as extended XYZ:
```
10
Lattice="-2.646 3.265 1.616 -2.641 -0.343 -3.630 -8.916 -10.950 7.523" Properties=species:S:1:pos:R:3 pbc="T T T"
Ba -6.615 -4.867 5.273
Ba -4.945 -4.623 1.243
Sm -2.376 0.339 1.697
Sm -9.183 -9.828 4.819
Te -7.569 -7.845 3.457
Te -2.131 -1.167 -1.131
Te -9.429 -8.323 7.647
Te -3.991 -1.645 3.059
F -4.458 -5.475 3.761
F -7.101 -4.014 2.755
```

## Properties
Energy relative to the elements, uncorrected (eV/atom): -2.187
Crystal system: tetragonal
Fermi-level density of states (states/eV per cell): 3.39